# La3CdPb2, optimized geometry, DFT PBE-GGA
# M_tot ... 0.000 μB/cell
# Formation energy ... -0.520 eV/atom
data_La3CdPb2
_cell_length_a 5.342
_cell_length_b 16.103
_cell_length_c 4.397
_cell_angle_alpha 90.00
_cell_angle_beta 90.00
_cell_angle_gamma 90.00
_symmetry_space_group_name_H-M 'C m m m'
_symmetry_Int_Tables_number 65
_symmetry_space_group_name_Hall '-C 2 2'
loop_
_atom_site_label
_atom_site_fract_x
_atom_site_fract_y
_atom_site_fract_z
La1 0.000 0.000 0.000
La2 0.000 0.330 0.000
Cd1 0.000 0.500 0.500
Pb1 0.000 0.160 0.500



# LaCdPb, optimized geometry, DFT PBE-GGA
# M_tot ... 0.000 μB/cell
# Formation energy ... -0.429 eV/atom
data_LaCdPb
_cell_length_a 5.044
_cell_length_b 9.314
_cell_length_c 7.501
_cell_angle_alpha 90.00
_cell_angle_beta 90.00
_cell_angle_gamma 90.00
_symmetry_space_group_name_H-M 'I m m 2'
_symmetry_Int_Tables_number 44
loop_
_symmetry_equiv_pos_as_xyz
'x,y,z'
'-x,-y,z'
'-x,y,z'
'x,-y,z'
'x+1/2,y+1/2,z+1/2'
'-x+1/2,-y+1/2,z+1/2'
'-x+1/2,y+1/2,z+1/2'
'x+1/2,-y+1/2,z+1/2'
loop_
_atom_site_label
_atom_site_fract_x
_atom_site_fract_y
_atom_site_fract_z
La1 0.000 0.000 0.000
La2 0.000 0.000 0.490
Cd1 0.000 0.345 0.236
Pb1 0.000 0.323 0.750



# LaCdPb3, optimized geometry, DFT PBE-GGA
# Energy above the most stable polymorph in this dataset ... 0.0 meV/atom
# M_tot ... 0.000 μB/cell
# Formation energy ... -0.088 eV/atom
data_LaCdPb3
_cell_length_a 7.6512
_cell_length_b 7.6512
_cell_length_c 6.3088
_cell_angle_alpha 90.00
_cell_angle_beta 90.00
_cell_angle_gamma 120.00
_symmetry_space_group_name_H-M 'P 63/m m c'
_symmetry_Int_Tables_number 194
_symmetry_space_group_name_Hall '-P 6c 2c'
loop_
_atom_site_label
_atom_site_fract_x
_atom_site_fract_y
_atom_site_fract_z
La1 0.3333 0.6667 0.2500
Cd1 0.0000 0.0000 0.0000
Pb1 0.1955 0.3910 0.7500



# LaCdPb, optimized geometry, DFT PBE-GGA
# M_tot ... 0.000 μB/cell
# Formation energy ... -0.301 eV/atom
data_LaCdPb
_cell_length_a 3.447
_cell_length_b 4.270
_cell_length_c 11.968
_cell_angle_alpha 90.00
_cell_angle_beta 90.00
_cell_angle_gamma 90.00
_symmetry_space_group_name_H-M 'I m m 2'
_symmetry_Int_Tables_number 44
loop_
_symmetry_equiv_pos_as_xyz
'x,y,z'
'-x,-y,z'
'-x,y,z'
'x,-y,z'
'x+1/2,y+1/2,z+1/2'
'-x+1/2,-y+1/2,z+1/2'
'-x+1/2,y+1/2,z+1/2'
'x+1/2,-y+1/2,z+1/2'
loop_
_atom_site_label
_atom_site_fract_x
_atom_site_fract_y
_atom_site_fract_z
La1 0.000 0.000 0.000
Cd1 0.000 0.000 0.329
Pb1 0.000 0.000 0.689



# LaCdPb2, optimized geometry, DFT PBE-GGA
# M_tot ... 0.002 μB/cell
# Formation energy ... -0.249 eV/atom
data_LaCdPb2
_cell_length_a 7.865
_cell_length_b 7.865
_cell_length_c 7.865
_cell_angle_alpha 90.00
_cell_angle_beta 90.00
_cell_angle_gamma 90.00
_symmetry_space_group_name_H-M 'F -4 3 m'
_symmetry_Int_Tables_number 216
_symmetry_space_group_name_Hall 'F -4 2 3'
loop_
_atom_site_label
_atom_site_fract_x
_atom_site_fract_y
_atom_site_fract_z
La1 0.000 0.000 0.000
Cd1 0.250 0.250 0.750
Pb1 0.000 0.000 0.500
Pb2 0.250 0.250 0.250



# LaCd2Pb3, optimized geometry, DFT PBE-GGA
# M_tot ... 0.000 μB/cell
# Formation energy ... -0.236 eV/atom
data_LaCd2Pb3
_cell_length_a 4.910
_cell_length_b 14.829
_cell_length_c 4.709
_cell_angle_alpha 90.00
_cell_angle_beta 90.00
_cell_angle_gamma 90.00
_symmetry_space_group_name_H-M 'C m m m'
_symmetry_Int_Tables_number 65
_symmetry_space_group_name_Hall '-C 2 2'
loop_
_atom_site_label
_atom_site_fract_x
_atom_site_fract_y
_atom_site_fract_z
La1 0.000 0.000 0.000
Cd1 0.000 0.328 0.000
Pb1 0.000 0.171 0.500
Pb2 0.000 0.500 0.500



# LaCd3Pb, optimized geometry, DFT PBE-GGA
# Energy above the most stable polymorph in this dataset ... 419.0 meV/atom
# M_tot ... 0.273 μB/cell
# Formation energy ... 0.736 eV/atom
data_LaCd3Pb
_cell_length_a 5.953
_cell_length_b 5.953
_cell_length_c 5.953
_cell_angle_alpha 90.00
_cell_angle_beta 90.00
_cell_angle_gamma 90.00
_symmetry_space_group_name_H-M 'P m -3 m'
_symmetry_Int_Tables_number 221
_symmetry_space_group_name_Hall '-P 4 2 3'
loop_
_atom_site_label
_atom_site_fract_x
_atom_site_fract_y
_atom_site_fract_z
La1 0.000 0.000 0.000
Cd1 0.000 0.000 0.500
Pb1 0.500 0.500 0.500



# La2CdPd6Pb3, optimized geometry, DFT PBE-GGA
# M_tot ... 0.000 μB/cell
# Formation energy ... -0.284 eV/atom
data_La2CdPd6Pb3
_cell_length_a 4.135
_cell_length_b 4.135
_cell_length_c 17.971
_cell_angle_alpha 90.00
_cell_angle_beta 90.00
_cell_angle_gamma 90.00
_symmetry_space_group_name_H-M 'P 4/m m m'
_symmetry_Int_Tables_number 123
_symmetry_space_group_name_Hall '-P 4 2'
loop_
_atom_site_label
_atom_site_fract_x
_atom_site_fract_y
_atom_site_fract_z
La1 0.000 0.000 0.193
Cd1 0.000 0.000 0.500
Pd1 0.000 0.500 0.399
Pd2 0.500 0.500 0.147
Pb1 0.500 0.500 0.000
Pb2 0.500 0.500 0.302



# LaCdPd3Pb, optimized geometry, DFT PBE-GGA
# M_tot ... 0.000 μB/cell
# Formation energy ... -0.394 eV/atom
data_LaCdPd3Pb
_cell_length_a 6.027
_cell_length_b 12.921
_cell_length_c 7.087
_cell_angle_alpha 90.00
_cell_angle_beta 90.00
_cell_angle_gamma 90.00
_symmetry_space_group_name_H-M 'C m c m'
_symmetry_Int_Tables_number 63
_symmetry_space_group_name_Hall '-C 2c 2'
loop_
_atom_site_label
_atom_site_fract_x
_atom_site_fract_y
_atom_site_fract_z
La1 0.000 0.154 0.250
Cd1 0.000 0.405 0.250
Pd1 0.000 0.363 0.750
Pd2 0.233 0.000 0.000
Pb1 0.000 0.146 0.750



# LaPmCdPb, optimized geometry, DFT PBE-GGA
# M_tot ... 0.000 μB/cell
# Formation energy ... -0.454 eV/atom
data_LaPmCdPb
_cell_length_a 7.835
_cell_length_b 7.835
_cell_length_c 7.835
_cell_angle_alpha 90.00
_cell_angle_beta 90.00
_cell_angle_gamma 90.00
_symmetry_space_group_name_H-M 'F -4 3 m'
_symmetry_Int_Tables_number 216
_symmetry_space_group_name_Hall 'F -4 2 3'
loop_
_atom_site_label
_atom_site_fract_x
_atom_site_fract_y
_atom_site_fract_z
La1 0.000 0.000 0.000
Pm1 0.000 0.000 0.500
Cd1 0.250 0.250 0.750
Pb1 0.250 0.250 0.250



# LaPm2Cd2Pb2, optimized geometry, DFT PBE-GGA
# M_tot ... 0.000 μB/cell
# Formation energy ... -0.256 eV/atom
data_LaPm2Cd2Pb2
_cell_length_a 5.1535
_cell_length_b 5.1535
_cell_length_c 27.2495
_cell_angle_alpha 90.00
_cell_angle_beta 90.00
_cell_angle_gamma 120.00
_symmetry_space_group_name_H-M 'R -3 m'
_symmetry_Int_Tables_number 166
_symmetry_space_group_name_Hall '-R 3 2"'
loop_
_atom_site_label
_atom_site_fract_x
_atom_site_fract_y
_atom_site_fract_z
La1 0.0000 0.0000 0.0000
Pm1 0.0000 0.0000 0.1333
Cd1 0.0000 0.0000 0.4294
Pb1 0.0000 0.0000 0.2687



# La2PrCd2Pb2, optimized geometry, DFT PBE-GGA
# M_tot ... 0.000 μB/cell
# Formation energy ... -0.264 eV/atom
data_La2PrCd2Pb2
_cell_length_a 5.1163
_cell_length_b 5.1163
_cell_length_c 28.1216
_cell_angle_alpha 90.00
_cell_angle_beta 90.00
_cell_angle_gamma 120.00
_symmetry_space_group_name_H-M 'R -3 m'
_symmetry_Int_Tables_number 166
_symmetry_space_group_name_Hall '-R 3 2"'
loop_
_atom_site_label
_atom_site_fract_x
_atom_site_fract_y
_atom_site_fract_z
La1 0.0000 0.0000 0.1342
Pr1 0.0000 0.0000 0.0000
Cd1 0.0000 0.0000 0.4223
Pb1 0.0000 0.0000 0.2715



# LaPr2Cd2Pb2, optimized geometry, DFT PBE-GGA
# M_tot ... 0.003 μB/cell
# Formation energy ... -0.264 eV/atom
data_LaPr2Cd2Pb2
_cell_length_a 5.1556
_cell_length_b 5.1556
_cell_length_c 27.7672
_cell_angle_alpha 90.00
_cell_angle_beta 90.00
_cell_angle_gamma 120.00
_symmetry_space_group_name_H-M 'R -3 m'
_symmetry_Int_Tables_number 166
_symmetry_space_group_name_Hall '-R 3 2"'
loop_
_atom_site_label
_atom_site_fract_x
_atom_site_fract_y
_atom_site_fract_z
La1 0.0000 0.0000 0.0000
Pr1 0.0000 0.0000 0.1329
Cd1 0.0000 0.0000 0.4252
Pb1 0.0000 0.0000 0.2698



| no. | E (eV/atom) |
| --- | --- |
| 1 | -4.372 |
| 2 | -3.612 |
| 3 | -3.481 |
| 4 | -3.485 |
| 5 | -3.563 |
| 6 | -3.216 |
| 7 | -1.540 |
| 8 | -4.705 |
| 9 | -4.582 |
| 10 | -4.030 |
| 11 | -3.639 |
| 12 | -3.675 |
| 13 | -3.655 |